No. 1
# LaPm2, optimized geometry, DFT GGA-PBE
data_LaPm2
_chemical_formula_sum 'La2 Pm4'
_symmetry_space_group_name_H-M 'P 1'
_symmetry_Int_Tables_number 1
_cell_length_a 5.9349
_cell_length_b 6.4523
_cell_length_c 6.4702
_cell_angle_alpha 119.91
_cell_angle_beta 90.00
_cell_angle_gamma 90.00
loop_
_symmetry_equiv_pos_as_xyz
'x,y,z'
loop_
_atom_site_label
_atom_site_fract_x
_atom_site_fract_y
_atom_site_fract_z
La1 0.7500 0.3302 0.0000
La2 0.2500 0.6698 0.0000
Pm1 0.7500 0.0019 0.3362
Pm2 0.2500 0.3344 0.3362
Pm3 0.7500 0.6656 0.6638
Pm4 0.2500 0.9981 0.6638
# Volume in Å³ per atom: 35.80
# ΔH_f (0 K) in eV per atom: 0.03
# VASP energy in eV/atom: -4.78
# Energy above the most stable polymorph in this dataset in meV/atom: 15


No. 2
# La2Pm3, optimized geometry, DFT GGA-PBE
data_La2Pm3
_chemical_formula_sum 'La2 Pm3'
_symmetry_space_group_name_H-M 'P 1'
_symmetry_Int_Tables_number 1
_cell_length_a 3.6868
_cell_length_b 3.6868
_cell_length_c 15.2018
_cell_angle_alpha 83.04
_cell_angle_beta 83.04
_cell_angle_gamma 60.00
loop_
_symmetry_equiv_pos_as_xyz
'x,y,z'
loop_
_atom_site_label
_atom_site_fract_x
_atom_site_fract_y
_atom_site_fract_z
La1 0.2994 0.2994 0.1017
La2 0.7006 0.7006 0.8983
Pm1 0.1013 0.1013 0.6962
Pm2 0.5000 0.5000 0.5000
Pm3 0.8987 0.8987 0.3038
# Volume in Å³ per atom: 35.44
# ΔH_f (0 K) in eV per atom: 0.01
# VASP energy in eV/atom: -4.81


No. 3
# La2Pm, optimized geometry, DFT GGA-PBE
data_La2Pm
_chemical_formula_sum 'La2 Pm1'
_symmetry_space_group_name_H-M 'P 1'
_symmetry_Int_Tables_number 1
_cell_length_a 3.7235
_cell_length_b 3.7235
_cell_length_c 9.3333
_cell_angle_alpha 78.49
_cell_angle_beta 78.49
_cell_angle_gamma 60.00
loop_
_symmetry_equiv_pos_as_xyz
'x,y,z'
loop_
_atom_site_label
_atom_site_fract_x
_atom_site_fract_y
_atom_site_fract_z
La1 0.7760 0.7760 0.6719
La2 0.2240 0.2240 0.3281
Pm1 0.0000 0.0000 0.0000
# Volume in Å³ per atom: 36.35
# ΔH_f (0 K) in eV per atom: 0.02
# VASP energy in eV/atom: -4.85
# Energy above the most stable polymorph in this dataset in meV/atom: 6


No. 4
# La7Pm, optimized geometry, DFT GGA-PBE
data_La7Pm
_chemical_formula_sum 'La7 Pm1'
_symmetry_space_group_name_H-M 'P 1'
_symmetry_Int_Tables_number 1
_cell_length_a 7.4553
_cell_length_b 7.4553
_cell_length_c 7.4553
_cell_angle_alpha 60.00
_cell_angle_beta 60.00
_cell_angle_gamma 60.00
loop_
_symmetry_equiv_pos_as_xyz
'x,y,z'
loop_
_atom_site_label
_atom_site_fract_x
_atom_site_fract_y
_atom_site_fract_z
La1 0.5000 0.5000 0.0000
La2 0.5000 0.0000 0.5000
La3 0.0000 0.5000 0.5000
La4 0.5000 0.0000 0.0000
La5 0.0000 0.5000 0.0000
La6 0.0000 0.0000 0.5000
La7 0.5000 0.5000 0.5000
Pm1 0.0000 0.0000 0.0000
# Volume in Å³ per atom: 36.63
# ΔH_f (0 K) in eV per atom: 0.01
# VASP energy in eV/atom: -4.89